[1]
AgPtI2: optimized geometry, PBE.

The structure in CIF format:
```
data_AgPtI2
_cell_length_a 5.1141
_cell_length_b 6.9532
_cell_length_c 8.4442
_cell_angle_alpha 86.72
_cell_angle_beta 72.56
_cell_angle_gamma 79.00
_space_group_name_H-M_alt 'P 1'
_space_group_IT_number 1
loop_
_space_group_symop_operation_xyz
'x,y,z'
loop_
_atom_site_label
_atom_site_type_symbol
_atom_site_fract_x
_atom_site_fract_y
_atom_site_fract_z
Ag1 Ag 0.0000 0.0000 0.0000
Ag2 Ag 0.3734 0.6247 0.9996
Pt1 Pt 0.4345 0.9857 0.1459
Pt2 Pt 0.7944 0.6387 0.1457
I1 I 0.0514 0.3121 0.2721
I2 I 0.4794 0.8119 0.4188
I3 I 0.5636 0.0835 0.8284
I4 I 0.9798 0.5417 0.8279
```

## Properties
Offset from the most stable computed form   0.000 eV/f.u.
Mass density   6.58 g/cm³
Final energy   -3.062 eV per atom



[2]
AgPtI2: optimized geometry, PBE.

The structure in CIF format:
```
data_AgPtI2
_cell_length_a 6.3811
_cell_length_b 6.3811
_cell_length_c 12.7680
_cell_angle_alpha 90.00
_cell_angle_beta 90.00
_cell_angle_gamma 90.00
_space_group_name_H-M_alt 'I -4 2 d'
_space_group_IT_number 122
_space_group_name_Hall 'I -4 2bw'
loop_
_atom_site_label
_atom_site_type_symbol
_atom_site_fract_x
_atom_site_fract_y
_atom_site_fract_z
Ag1 Ag 0.0000 0.0000 0.0000
Pt1 Pt 0.0000 0.0000 0.5000
I1 I 0.2247 0.2500 0.6250
```

## Properties
Offset from the most stable computed form   0.821 eV/f.u.
Mass density   7.11 g/cm³
Final energy   -2.857 eV per atom



[3]
AgPtI2: optimized geometry, PBE.

The structure in CIF format:
```
data_AgPtI2
_cell_length_a 7.3493
_cell_length_b 7.3493
_cell_length_c 7.3493
_cell_angle_alpha 90.00
_cell_angle_beta 90.00
_cell_angle_gamma 90.00
_space_group_name_H-M_alt 'F m -3 m'
_space_group_IT_number 225
_space_group_name_Hall '-F 4 2 3'
loop_
_atom_site_label
_atom_site_type_symbol
_atom_site_fract_x
_atom_site_fract_y
_atom_site_fract_z
Ag1 Ag 0.0000 0.0000 0.0000
Pt1 Pt 0.0000 0.0000 0.5000
I1 I 0.2500 0.2500 0.2500
```

## Properties
Offset from the most stable computed form   2.774 eV/f.u.
Mass density   9.32 g/cm³
Final energy   -2.369 eV per atom



Please write out number 2 again, unchanged.
AgPtI2: optimized geometry, PBE.

The structure in CIF format:
```
data_AgPtI2
_cell_length_a 6.3811
_cell_length_b 6.3811
_cell_length_c 12.7680
_cell_angle_alpha 90.00
_cell_angle_beta 90.00
_cell_angle_gamma 90.00
_space_group_name_H-M_alt 'I -4 2 d'
_space_group_IT_number 122
_space_group_name_Hall 'I -4 2bw'
loop_
_atom_site_label
_atom_site_type_symbol
_atom_site_fract_x
_atom_site_fract_y
_atom_site_fract_z
Ag1 Ag 0.0000 0.0000 0.0000
Pt1 Pt 0.0000 0.0000 0.5000
I1 I 0.2247 0.2500 0.6250
```

## Properties
Offset from the most stable computed form   0.821 eV/f.u.
Mass density   7.11 g/cm³
Final energy   -2.857 eV per atom



Look up the mass density of the first one.
6.58 g/cm³



Number 1 is which compound?
AgPtI2